[1]
PaSi2OsRh: relaxed, GGA-PBE.

Cell lengths 5.7106, 5.7106, 5.7106 Å; angles 137.79, 137.79, 61.22 degrees
Closest atoms and distances in Å follow each position.
Element x y z (fractional)
Pa (0.0000, 0.0000, 0.0000)  8 Si 3.15, 4 Os 3.20, 4 Rh 3.20
Si (0.3780, 0.3780, 0.0000)  1 Si 2.40, 2 Os 2.41, 2 Rh 2.41
Si (0.6220, 0.6220, 0.0000)  1 Si 2.40, 2 Os 2.41, 2 Rh 2.41
Os (0.7500, 0.2500, 0.5000)  4 Si 2.41
Rh (0.2500, 0.7500, 0.5000)  4 Si 2.41

Calculated values
- spin magnetization (μB per formula unit) = 0.00
- E_form (uncorrected) (eV per atom) = -0.845
- symmetry = I-4m2

=====

[2]
SmPaOsRh: relaxed, GGA-PBE.

Cell lengths 4.8998, 4.8998, 4.8998 Å; angles 60.00, 60.00, 60.00 degrees
Closest atoms and distances in Å follow each position.
Element x y z (fractional)
Sm (0.0000, 0.0000, 0.0000)  4 Rh 3.00, 4 Os 3.00
Pa (0.5000, 0.5000, 0.5000)  4 Rh 3.00, 4 Os 3.00
Os (0.2500, 0.2500, 0.2500)  4 Pa 3.00, 4 Sm 3.00
Rh (0.7500, 0.7500, 0.7500)  4 Pa 3.00, 4 Sm 3.00

Calculated values
- spin magnetization (μB per formula unit) = 0.00
- energy of formation (eV/f.u.) = -1.5
- symmetry = F-43m

=====

[3]
PaSnOsRh: relaxed, GGA-PBE.

Cell lengths 4.7778, 4.7778, 4.7778 Å; angles 60.00, 60.00, 60.00 degrees
Closest atoms and distances in Å follow each position.
Element x y z (fractional)
Pa (0.0000, 0.0000, 0.0000)  4 Os 2.93, 4 Rh 2.93
Sn (0.5000, 0.5000, 0.5000)  4 Os 2.93, 4 Rh 2.93
Os (0.2500, 0.2500, 0.2500)  4 Sn 2.93, 4 Pa 2.93
Rh (0.7500, 0.7500, 0.7500)  4 Sn 2.93, 4 Pa 2.93

Calculated values
- spin magnetization (μB per formula unit) = 0.00
- energy of formation (eV/f.u.) = -1.3
- symmetry = F-43m

=====

[4]
TbPaOsRh: relaxed, GGA-PBE.

Cell lengths 4.8680, 4.8680, 4.8680 Å; angles 60.00, 60.00, 60.00 degrees
Closest atoms and distances in Å follow each position.
Element x y z (fractional)
Tb (0.0000, 0.0000, 0.0000)  4 Os 2.98, 4 Rh 2.98
Pa (0.5000, 0.5000, 0.5000)  4 Rh 2.98, 4 Os 2.98
Os (0.7500, 0.7500, 0.7500)  4 Pa 2.98, 4 Tb 2.98
Rh (0.2500, 0.2500, 0.2500)  4 Pa 2.98, 4 Tb 2.98

Calculated values
- spin magnetization (μB per formula unit) = 0.00
- energy of formation (eV/f.u.) = -1.8
- symmetry = F-43m

=====

[5]
ThPaOsRh: relaxed, GGA-PBE.

Cell lengths 4.9528, 4.9528, 4.9528 Å; angles 60.00, 60.00, 60.00 degrees
Closest atoms and distances in Å follow each position.
Element x y z (fractional)
Th (0.0000, 0.0000, 0.0000)  4 Os 3.03, 4 Rh 3.03
Pa (0.5000, 0.5000, 0.5000)  4 Os 3.03, 4 Rh 3.03
Os (0.7500, 0.7500, 0.7500)  4 Th 3.03, 4 Pa 3.03
Rh (0.2500, 0.2500, 0.2500)  4 Th 3.03, 4 Pa 3.03

Calculated values
- spin magnetization (μB per formula unit) = 0.00
- energy of formation (eV/f.u.) = -1.6
- symmetry = F-43m

=====

[6]
TmPaOsRh: relaxed, GGA-PBE.

Cell lengths 4.8376, 4.8376, 4.8376 Å; angles 60.00, 60.00, 60.00 degrees
Closest atoms and distances in Å follow each position.
Element x y z (fractional)
Tm (0.0000, 0.0000, 0.0000)  4 Os 2.96, 4 Rh 2.96
Pa (0.5000, 0.5000, 0.5000)  4 Os 2.96, 4 Rh 2.96
Os (0.7500, 0.7500, 0.7500)  4 Tm 2.96, 4 Pa 2.96
Rh (0.2500, 0.2500, 0.2500)  4 Pa 2.96, 4 Tm 2.96

Calculated values
- spin magnetization (μB per formula unit) = 0.00
- energy of formation (eV/f.u.) = -2.1
- symmetry = F-43m

=====

| no. | total energy (eV/atom) |
| --- | --- |
| 1 | -8.630 |
| 2 | -8.568 |
| 3 | -8.342 |
| 4 | -8.627 |
| 5 | -9.262 |
| 6 | -8.658 |